! Li3TmPb4 | the Alexandria database | PBE | optimized geometry; values from VASP
! D(E_F)	3.3	states/eV/f.u.
! uncorrected energy	-27.47	eV/cell
! size of the total moment	0.00	μB/f.u.
! symmetry	Pmmm, No. 47
! DFT formation energy	-234	kJ/mol of formula units
&SYSTEM
  ibrav = 0, nat = 8, ntyp = 3
/
ATOMIC_SPECIES
Pb 207.20 Pb.upf
Li 6.94 Li.upf
Tm 168.93 Tm.upf
CELL_PARAMETERS angstrom
3.5743 0.0000 0.0000
0.0000 5.2500 0.0000
0.0000 0.0000 10.3360
ATOMIC_POSITIONS crystal
Pb 0.0000 0.0000 0.5000
Li 0.5000 0.5000 0.5000
Li 0.5000 0.0000 0.7411
Pb 0.0000 0.5000 0.2661
Li 0.5000 0.0000 0.2589
Tm 0.5000 0.5000 0.0000
Pb 0.0000 0.5000 0.7339
Pb 0.0000 0.0000 0.0000